Here is a geometry-optimized Fe2HF structure from Alexandria. Energies are from PBE+U.

abc: 3.9050 3.9050 3.9050
angles: 60.00 60.00 60.00
Each line ends with the local moment (μB).
Fractional positions:
Fe 0.2500 0.2500 0.2500  3.08
Fe 0.7500 0.7500 0.7500  3.08
F 0.5000 0.5000 0.5000  0.03
H 0.0000 0.0000 0.0000  -0.01

Results
D(E_F): 1.2 states/eV/f.u.
offset from the most stable computed form: 227 meV/atom
M_tot: 1.575 μB per atom
energy: -16.4 eV/cell